[1]
Li4Ac2AlTl3 PBE-GGA optimized geometry; D(E_F) = 10.2 states/eV/f.u.; theoretical density = 7.44 g cm⁻³; spin magnetization = 0.00 Bohr magnetons per cell; DFT formation energy = -0.226 eV per atom
1.0
4.841 0.000 0.000
0.000 4.841 0.000
0.000 0.000 10.683
Li Ac Al Tl
4 2 1 3
Cartesian
0.000 0.000 0.000 Li
0.000 2.421 4.002 Li
2.421 0.000 6.681 Li
2.421 2.421 0.000 Li
0.000 2.421 7.943 Ac
2.421 0.000 2.740 Ac
2.421 2.421 5.342 Al
0.000 0.000 5.342 Tl
0.000 2.421 1.328 Tl
2.421 0.000 9.355 Tl

[2]
PrGaRu PBE-GGA optimized geometry; D(E_F) = 2.7 states/eV/f.u.; theoretical density = 7.85 g cm⁻³; spin magnetization = 0.00 Bohr magnetons per cell; DFT formation energy = -0.374 eV per atom
1.0
4.338 0.000 0.000
-2.169 3.757 0.000
0.000 0.000 4.045
Pr Ga Ru
1 1 1
Cartesian
0.000 0.000 0.000 Pr
0.000 2.504 2.023 Ga
2.169 1.252 2.023 Ru

[3]
Ac6As4Pb PBE-GGA optimized geometry; D(E_F) = 5.1 states/eV/f.u.; theoretical density = 7.84 g cm⁻³; spin magnetization = 1.85 Bohr magnetons per cell; DFT formation energy = -1.192 eV per atom
1.0
2.288 -7.450 0.000
2.288 7.450 0.000
0.000 0.000 23.217
Ac As Pb
12 8 2
Cartesian
0.000 0.000 0.000 Ac
0.000 0.000 11.608 Ac
2.288 4.949 17.413 Ac
2.288 3.372 1.906 Ac
2.288 3.372 9.702 Ac
2.288 0.651 15.333 Ac
2.288 0.651 19.493 Ac
2.288 -0.651 3.724 Ac
2.288 -0.651 7.884 Ac
2.288 -3.372 13.515 Ac
2.288 -3.372 21.310 Ac
2.288 -4.949 5.804 Ac
2.288 6.100 14.508 As
2.288 6.100 20.317 As
2.288 2.055 12.570 As
2.288 2.055 22.255 As
2.288 -2.055 0.961 As
2.288 -2.055 10.647 As
2.288 -6.100 2.900 As
2.288 -6.100 8.709 As
2.288 5.039 5.804 Pb
2.288 -5.039 17.413 Pb

[4]
LiHoMgMn PBE-GGA optimized geometry; D(E_F) = 5.7 states/eV/f.u.; theoretical density = 5.01 g cm⁻³; spin magnetization = 3.93 Bohr magnetons per cell; DFT formation energy = 0.166 eV per atom
1.0
0.000 3.466 3.466
3.466 0.000 3.466
3.466 3.466 0.000
Li Ho Mg Mn
1 1 1 1
Cartesian
0.000 0.000 0.000 Li
5.199 5.199 5.199 Ho
1.733 1.733 1.733 Mg
3.466 3.466 3.466 Mn